Compound: TbTm2In3Ni2Au
Source: OQMD via LeMat-Bulk
Functional: PBE
Structure: relaxed

Structure (POSCAR):
```
TbTm2In3Ni2Au
1.0
-0.880 3.764 -0.515
-6.493 -1.026 3.589
6.134 1.956 3.827
Au In Tm Ni Tb
1 3 2 2 1
direct
0.000 0.998 0.998
0.500 0.727 0.727
0.500 0.999 0.274
0.500 0.274 0.999
0.000 0.001 0.592
0.000 0.592 0.001
0.500 0.332 0.668
0.500 0.668 0.332
0.000 0.409 0.409
```

crystal system = orthorhombic
total energy = -4.570 eV/atom
theoretical density = 10.136 g/cm³



Compound: SrHoTc
Source: OQMD via LeMat-Bulk
Functional: PBE
Structure: relaxed

Structure (POSCAR):
```
SrHoTc
1.0
0.000 3.512 3.512
3.512 0.000 3.512
3.512 3.512 0.000
Sr Tc Ho
1 1 1
direct
0.250 0.250 0.250
0.750 0.750 0.750
0.000 0.000 0.000
```

crystal system = cubic
total energy = -4.321 eV/atom
theoretical density = 6.720 g/cm³



Compound: ZnCoNiPd
Source: OQMD via LeMat-Bulk
Functional: PBE
Structure: relaxed

Structure (POSCAR):
```
ZnCoNiPd
1.0
0.000 2.944 2.944
2.944 0.000 2.944
2.944 2.944 0.000
Pd Co Zn Ni
1 1 1 1
direct
0.250 0.250 0.250
0.750 0.750 0.750
0.000 0.000 0.000
0.500 0.500 0.500
```

crystal system = cubic
total energy = -4.831 eV/atom
energy of formation from the pure elements = -0.05 eV per atom
theoretical density = 9.416 g/cm³



Compound: SrNdAuSe3
Source: OQMD via LeMat-Bulk
Functional: PBE
Structure: relaxed

Structure (POSCAR):
```
SrNdAuSe3
1.0
9.360 -2.082 0.000
9.360 2.082 0.000
-1.771 0.000 8.340
Se Au Nd Sr
6 2 2 2
direct
0.673 0.673 0.357
0.315 0.315 0.148
0.685 0.685 0.852
0.000 0.000 0.500
0.327 0.327 0.643
0.500 0.500 0.000
0.454 0.454 0.284
0.546 0.546 0.716
0.836 0.836 0.403
0.164 0.164 0.597
0.875 0.875 0.920
0.125 0.125 0.080
```

crystal system = monoclinic
total energy = -4.799 eV/atom
theoretical density = 6.802 g/cm³



Compound: Re2Si2W
Source: OQMD via LeMat-Bulk
Functional: PBE
Structure: relaxed

Structure (POSCAR):
```
Re2Si2W
1.0
-1.984 1.984 4.895
1.984 -1.984 4.895
1.984 1.984 -4.895
Re Si W
2 2 1
direct
0.250 0.750 0.500
0.750 0.250 0.500
0.613 0.613 0.000
0.387 0.387 0.000
0.000 0.000 0.000
```

crystal system = tetragonal
total energy = -9.267 eV/atom
theoretical density = 13.193 g/cm³



Compound: PbAu2
Source: OQMD via LeMat-Bulk
Functional: PBE
Structure: relaxed

Structure (POSCAR):
```
PbAu2
1.0
-0.469 4.157 6.932
-1.673 -4.713 2.713
10.925 -2.566 2.277
Au Pb
16 8
direct
0.500 0.500 0.000
0.727 0.214 0.625
0.273 0.786 0.375
0.000 0.019 0.750
0.000 0.000 0.000
0.773 0.286 0.125
0.000 0.000 0.500
0.500 0.500 0.500
0.227 0.714 0.875
0.000 0.981 0.250
0.773 0.714 0.625
0.500 0.519 0.750
0.727 0.786 0.125
0.273 0.214 0.875
0.227 0.286 0.375
0.500 0.481 0.250
0.874 0.509 0.375
0.126 0.491 0.625
0.374 0.991 0.625
0.626 0.991 0.875
0.374 0.009 0.125
0.626 0.009 0.375
0.874 0.491 0.875
0.126 0.509 0.125
```

crystal system = orthorhombic
total energy = -3.493 eV/atom
theoretical density = 15.139 g/cm³